No. 1
Here is an optimized crystal structure of LiTm2In from Alexandria. Energies are from PBE.

Calculated density, Mg/m³: 7.677
ΔH_f (0 K), eV per atom: -0.247

abc: 7.354 7.354 7.354
angles: 90.00 90.00 90.00
Space group Fm-3m (No. 225)
Unique sites:
1 Li 0.000 0.000 0.000 [4 per cell]
2 Tm 0.250 0.250 0.250 [8 per cell]
3 In 0.000 0.000 0.500 [4 per cell]

***

No. 2
Here is an optimized crystal structure of Li2La3Pr2Tl4 from Alexandria. Energies are from PBE.

Calculated density, Mg/m³: 7.537
ΔH_f (0 K), eV per atom: -0.219

abc: 5.2277 5.2277 14.2420
angles: 90.00 90.00 120.00
Space group P-3m1 (No. 164)
Unique sites:
1 Li 0.3333 0.6667 0.1239 [2 per cell]
2 La 0.0000 0.0000 0.0000 [1 per cell]
3 La 0.0000 0.0000 0.2339 [2 per cell]
4 Pr 0.3333 0.6667 0.5832 [2 per cell]
5 Tl 0.3333 0.6667 0.3407 [2 per cell]
6 Tl 0.3333 0.6667 0.8759 [2 per cell]

***

No. 3
Here is an optimized crystal structure of OsRh2Au from Alexandria. Energies are from PBE.

Energy above the most stable polymorph in this dataset, meV/atom: 453
Calculated density, Mg/m³: 15.855
ΔH_f (0 K), eV per atom: 0.518

abc: 6.286 6.286 6.286
angles: 90.00 90.00 90.00
Space group Fm-3m (No. 225)
Unique sites:
1 Os 0.000 0.000 0.000 [4 per cell]
2 Rh 0.250 0.250 0.250 [8 per cell]
3 Au 0.000 0.000 0.500 [4 per cell]